A plane-wave DFT calculation with PBE was carried out for crystalline SrPr2P at its relaxed geometry.

Results
- ΔE to the lowest computed polymorph: 0 meV per atom
- VASP energy: -19.4 eV/cell
- E_form: -0.685 eV per atom

a b c (Å): 4.108 4.108 10.586
angles (deg): 78.81 78.81 60.00
Last column: magnetic moment on the atom in μB.
Atoms (fractional coordinates):
Pr 0.281 0.281 0.156  0.07
Pr 0.052 0.052 0.844  0.08
Sr 0.500 0.500 0.499  0.02
P 0.666 0.666 0.001  -0.01